First-principles (PBE-GGA) data for a geometry-optimized KMgSbI2 structure, as listed in Alexandria via LeMat-Bulk.

Computed properties:
The crystal system is tetragonal. The formation energy from raw total energies comes out at -0.537 eV per atom. The value obtained for the energy above the most stable polymorph in this dataset is 0.0 kJ/mol of atoms.

abc: 6.0606 6.0606 5.6349
angles: 90.00 90.00 90.00
Space group P4/mmm (No. 123)
Unique sites:
K  0.0000  0.0000  0.0000 (multiplicity 1)
Mg  0.5000  0.5000  0.5000 (multiplicity 1)
Sb  0.5000  0.5000  0.0000 (multiplicity 1)
I  0.0000  0.5000  0.5000 (multiplicity 2)


First-principles (PBE-GGA) data for a geometry-optimized Li2MnV structure, as listed in Alexandria via LeMat-Bulk.

Computed properties:
The crystal system is cubic. Its energy of formation is 2.24 eV/f.u.

abc: 6.1880 6.1880 6.1880
angles: 90.00 90.00 90.00
Space group Fm-3m (No. 225)
Unique sites:
Li  0.2500  0.2500  0.2500 (multiplicity 8)
Mn  0.0000  0.0000  0.0000 (multiplicity 4)
V  0.0000  0.0000  0.5000 (multiplicity 4)


First-principles (PBE-GGA) data for a geometry-optimized Na2In5Bi3 structure, as listed in Alexandria via LeMat-Bulk.

Computed properties:
The crystal system is monoclinic. Its energy of formation is -0.82 eV/f.u.

abc: 12.0928 14.2625 7.1905
angles: 90.00 98.04 90.00
Space group C2/c (No. 15)
Unique sites:
Na  0.1137  0.2224  0.1023 (multiplicity 8)
In  0.0000  0.0037  0.2500 (multiplicity 4)
In  0.1093  0.3445  0.6421 (multiplicity 8)
In  0.2110  0.4421  0.0212 (multiplicity 8)
Bi  0.0000  0.4382  0.2500 (multiplicity 4)
Bi  0.1537  0.1248  0.5470 (multiplicity 8)